Density functional theory data (GGA-PBE) for crystalline Pa2Tc2O5 at its relaxed geometry.

Computed properties:
Polymorph energy (0 for the lowest one), meV/atom: 495
Electronic total energy, eV per atom: -8.104

a b c (Å): 8.1511 4.2245 4.2245
angles (deg): 90.00 90.00 90.00
Site moments in Bohr magnetons follow the coordinates.
Fractional coordinates of all 9 atoms:
O1 0.5000 0.5000 0.5000  0.08
O2 0.2965 0.5000 0.0000  0.10
O3 0.7035 0.0000 0.5000  0.10
Pa1 0.2327 0.5000 0.5000  -0.15
Pa2 0.7673 0.5000 0.5000  -0.15
O4 0.7035 0.5000 0.0000  0.10
Tc1 0.0000 0.0000 0.0000  3.03
O5 0.2965 0.0000 0.5000  0.10
Tc2 0.5000 0.0000 0.0000  4.05